# 1
Compound: TaCr2Rh
Source: Alexandria via LeMat-Bulk
Functional: GGA-PBEsol
Structure: relaxed

Cell and atoms, written as POSCAR:
```
TaCr2Rh
1.0
2.6886 0.0000 0.0000
0.0000 3.9382 0.0000
-1.3367 0.0000 5.1082
Ta Cr Rh
1 2 1
Direct
0.0000 0.0000 0.0000
0.5711 0.5000 0.2843
0.9021 0.0000 0.4690
0.4029 0.5000 0.7330
```

Formation energy, eV/atom: 0.0113
Space-group type: No. 6
Offset from the most stable computed form, eV/atom: 0.000

---

# 2
Compound: TaCr2Rh
Source: Alexandria via LeMat-Bulk
Functional: GGA-PBEsol
Structure: relaxed

Cell and atoms, written as POSCAR:
```
TaCr2Rh
1.0
1.3345 0.7705 8.9011
-1.3345 0.7705 8.9011
0.0000 -1.5410 8.9011
Ta Cr Rh
1 2 1
Direct
0.0000 0.0000 0.0000
0.2442 0.2442 0.2442
0.7558 0.7558 0.7558
0.5000 0.5000 0.5000
```

Formation energy, eV/atom: 0.3198
Space-group type: No. 166
Offset from the most stable computed form, eV/atom: 0.309

---

# 3
Compound: CrTcRh2
Source: Alexandria via LeMat-Bulk
Functional: GGA-PBEsol
Structure: relaxed

Cell and atoms, written as POSCAR:
```
CrTcRh2
1.0
2.6396 0.0000 0.0000
0.0000 3.7654 0.0000
0.0000 0.0000 5.2538
Cr Tc Rh
1 1 2
Direct
0.0000 0.0000 0.0000
0.0000 0.0000 0.5000
0.5000 0.5000 0.2458
0.5000 0.5000 0.7542
```

Formation energy, eV/atom: -0.0606
Space-group type: No. 47
Offset from the most stable computed form, eV/atom: 0.082

---

# 4
Compound: Cr2TcRh
Source: Alexandria via LeMat-Bulk
Functional: GGA-PBEsol
Structure: relaxed

Cell and atoms, written as POSCAR:
```
Cr2TcRh
1.0
-1.8251 1.8251 3.7739
1.8251 -1.8251 3.7739
1.8251 1.8251 -3.7739
Cr Tc Rh
2 1 1
Direct
0.0000 0.0000 0.0000
0.7500 0.2500 0.5000
0.2500 0.7500 0.5000
0.5000 0.5000 0.0000
```

Formation energy, eV/atom: 0.0961
Space-group type: No. 119

---

no.,E_tot (eV per atom),M_tot (μB/cell),V (Å³/cell)
1,-10.282,0.000,54.1
2,-9.974,0.000,54.9
3,-9.507,0.704,52.2
4,-9.876,0.005,50.3